LaTa2Mo | PBE | relaxed

Results
- Uncorrected energy: -9.0300 eV per atom
- SG: I-42d (122)
- DFT formation energy: 0.84 eV per atom

extended XYZ file:
```
8
Lattice="7.874 0.000 0.000 0.000 7.874 0.000 3.937 3.937 2.893" Properties=species:S:1:pos:R:3 pbc="T T T"
Mo 3.937 3.937 0.000
Mo 3.937 7.874 1.446
La 0.000 0.000 0.000
La 7.874 3.937 1.446
Ta 5.536 1.968 0.723
Ta 2.338 5.905 0.723
Ta 5.905 6.275 2.169
Ta 9.842 9.473 2.169
```